First-principles (PBE with a Hubbard U) data for a relaxed NiTe2F crystal, as listed in Alexandria via LeMat-Bulk.

Output
* theoretical density: 6.628 g cm⁻³
* final energy: -2.64 eV per atom

Cell and atoms, written as POSCAR:
```
NiTe2F
1.0
1.5983 0.9228 9.4248
-1.5983 0.9228 9.4248
0.0000 -1.8455 9.4248
Ni Te F
1 2 1
Cartesian
0.0000 0.0000 0.0000 Ni
0.0000 0.0000 2.5997 Te
0.0000 0.0000 25.6745 Te
0.0000 0.0000 14.1371 F
```